First-principles (PBE) data for an optimized crystal structure of Pa2SiGe, as listed in the Alexandria database.

SG: P2_1/m, No. 11
E_form (uncorrected) in eV/atom: -0.433
Energy above the lowest structure with this stoichiometry in meV per atom: 11
Calculated density in g cm⁻³: 10.5
VASP energy in Ha/atom: -0.28262

Cell and atoms, written as POSCAR:
```
Pa2SiGe
1.0
-3.8095 1.5672 -0.1035
-0.3814 -1.2923 -5.5296
-2.6544 -6.1450 4.6481
Si Pa Ge
2 4 2
direct
0.7500 0.6702 0.2934
0.2500 0.3298 0.7066
0.2500 0.7731 0.0749
0.7500 0.2269 0.9251
0.2500 0.7831 0.5652
0.7500 0.2169 0.4348
0.2500 0.3265 0.2067
0.7500 0.6735 0.7933
```